{"formula": "Ce4RuPb2", "functional": "PBE", "state": "relaxed", "e_tot_ev_per_cell": -42.6, "relative_energy_mev_per_atom": 0.0, "ef_kj_per_mol_fu": -211, "volume_a3_per_cell": 222.5, "cell": [[-2.539, 2.539, 8.628], [2.539, -2.539, 8.628], [2.539, 2.539, -8.628]], "species": ["Ce", "Ce", "Ce", "Ce", "Ru", "Pb", "Pb"], "fractional_positions": [[0.000, 0.500, 0.500], [0.176, 0.176, 0.000], [0.500, 0.000, 0.500], [0.824, 0.824, 0.000], [0.000, 0.000, 0.000], [0.363, 0.363, 0.000], [0.637, 0.637, 0.000]]}

{"formula": "Ce12RuPb6", "functional": "PBE", "state": "relaxed", "e_tot_ev_per_cell": -105.7, "ef_kj_per_mol_fu": -285, "volume_a3_per_cell": 527.2, "cell": [[5.725, 3.305, 4.643], [-5.725, 3.305, 4.643], [0.000, -6.611, 4.643]], "species": ["Ce", "Ce", "Ce", "Ce", "Ce", "Ce", "Ce", "Ce", "Ce", "Ce", "Ce", "Ce", "Ru", "Pb", "Pb", "Pb", "Pb", "Pb", "Pb"], "fractional_positions": [[0.005, 0.913, 0.270], [0.087, 0.730, 0.995], [0.157, 0.440, 0.358], [0.270, 0.005, 0.913], [0.358, 0.157, 0.440], [0.440, 0.358, 0.157], [0.560, 0.642, 0.843], [0.642, 0.843, 0.560], [0.730, 0.995, 0.087], [0.843, 0.560, 0.642], [0.913, 0.270, 0.005], [0.995, 0.087, 0.730], [0.500, 0.500, 0.500], [0.221, 0.769, 0.594], [0.231, 0.406, 0.779], [0.406, 0.779, 0.231], [0.594, 0.221, 0.769], [0.769, 0.594, 0.221], [0.779, 0.231, 0.406]]}

{"formula": "Ce6Ru3Pb", "functional": "PBE", "state": "relaxed", "e_tot_ev_per_cell": -139.5, "ef_kj_per_mol_fu": -252, "volume_a3_per_cell": 535.7, "cell": [[11.273, 0.000, 0.000], [0.000, 4.017, 0.000], [-3.034, 0.000, 11.829]], "species": ["Ce", "Ce", "Ce", "Ce", "Ce", "Ce", "Ce", "Ce", "Ce", "Ce", "Ce", "Ce", "Ru", "Ru", "Ru", "Ru", "Ru", "Ru", "Pb", "Pb"], "fractional_positions": [[0.008, 0.250, 0.125], [0.115, 0.750, 0.459], [0.202, 0.250, 0.757], [0.277, 0.250, 0.275], [0.329, 0.750, 0.037], [0.417, 0.250, 0.593], [0.583, 0.750, 0.407], [0.671, 0.250, 0.963], [0.723, 0.750, 0.725], [0.798, 0.750, 0.243], [0.885, 0.250, 0.541], [0.992, 0.750, 0.875], [0.023, 0.750, 0.662], [0.162, 0.250, 0.979], [0.344, 0.750, 0.424], [0.656, 0.250, 0.576], [0.838, 0.750, 0.021], [0.977, 0.250, 0.338], [0.454, 0.750, 0.818], [0.546, 0.250, 0.182]]}

{"formula": "CeRuPb", "functional": "PBE", "state": "relaxed", "e_tot_ev_per_cell": -19.4, "ef_kj_per_mol_fu": -51, "volume_a3_per_cell": 75.5, "cell": [[0.000, 3.355, 3.355], [3.355, 0.000, 3.355], [3.355, 3.355, 0.000]], "species": ["Ce", "Ru", "Pb"], "fractional_positions": [[0.000, 0.000, 0.000], [0.250, 0.250, 0.250], [0.500, 0.500, 0.500]]}

{"formula": "Ce8RuPb3", "functional": "PBE", "state": "relaxed", "e_tot_ev_per_cell": -70.9, "ef_kj_per_mol_fu": -291, "volume_a3_per_cell": 321.5, "cell": [[5.796, 0.000, 0.000], [0.723, 6.730, 0.000], [2.490, 1.466, 8.242]], "species": ["Ce", "Ce", "Ce", "Ce", "Ce", "Ce", "Ce", "Ce", "Ru", "Pb", "Pb", "Pb"], "fractional_positions": [[0.000, 0.000, 0.000], [0.003, 0.187, 0.341], [0.102, 0.541, 0.989], [0.397, 0.439, 0.542], [0.481, 0.827, 0.168], [0.511, 0.745, 0.865], [0.558, 0.060, 0.508], [0.865, 0.302, 0.723], [0.395, 0.182, 0.892], [0.059, 0.834, 0.651], [0.562, 0.332, 0.142], [0.913, 0.671, 0.364]]}

{"formula": "CeRuPb", "functional": "PBE", "state": "relaxed", "e_tot_ev_per_cell": -39.4, "ef_kj_per_mol_fu": -75, "volume_a3_per_cell": 144.0, "cell": [[-1.950, 3.378, 5.466], [1.950, -3.378, 5.466], [1.950, 3.378, -5.466]], "species": ["Ce", "Ce", "Ru", "Ru", "Pb", "Pb"], "fractional_positions": [[0.223, 0.223, 0.000], [0.777, 0.777, 0.000], [0.368, 0.868, 0.500], [0.632, 0.132, 0.500], [0.244, 0.500, 0.744], [0.756, 0.500, 0.256]]}